Record 1
First-principles (PBE) data for a geometry-optimized SiAs2Br structure, as listed in Alexandria.

abc: 5.0651 5.0651 3.1271
angles: 90.00 90.00 90.00
Atoms (fractional coordinates):
Si (0.0000, 0.0000, 0.0000)
As (0.0000, 0.5000, 0.5000)
As (0.5000, 0.0000, 0.5000)
Br (0.5000, 0.5000, 0.0000)

Values from the calculation:
- M_tot: 0.0 μB/f.u.
- Final energy: -3.436 eV/atom
- Polymorph energy (0 for the lowest one): 606 meV per atom
- Space-group type: P4/mmm

=====

Record 2
First-principles (PBE) data for a geometry-optimized Pr3HoS4 structure, as listed in Alexandria.

abc: 8.2092 11.4709 4.0007
angles: 90.00 90.00 90.00
Atoms (fractional coordinates):
Pr (0.0000, 0.0000, 0.0000)
Pr (0.2500, 0.2500, 0.5000)
Pr (0.2500, 0.7500, 0.5000)
Pr (0.5000, 0.5000, 0.0000)
Pr (0.7500, 0.2500, 0.5000)
Pr (0.7500, 0.7500, 0.5000)
Ho (0.0000, 0.5000, 0.0000)
Ho (0.5000, 0.0000, 0.0000)
S (0.0000, 0.2576, 0.0000)
S (0.0000, 0.7424, 0.0000)
S (0.2351, 0.5000, 0.5000)
S (0.2649, 0.0000, 0.5000)
S (0.5000, 0.2424, 0.0000)
S (0.5000, 0.7576, 0.0000)
S (0.7351, 0.0000, 0.5000)
S (0.7649, 0.5000, 0.5000)

Values from the calculation:
- M_tot: 0.0 μB/f.u.
- Final energy: -6.431 eV/atom
- Polymorph energy (0 for the lowest one): 4 meV per atom
- Space-group type: Cmmm